{
  "formula": "K2Gd2AsP",
  "functional": "PBE",
  "state": "optimized geometry",
  "magmom_total_mub_per_fu": 0.027,
  "volume_a3_per_cell": 196.2,
  "e_tot_ev_per_fu": -25.9,
  "lattice_angstrom": [[-0.4045, 4.9703, 0.4115], [0.0721, -0.4070, 4.9865], [7.8103, 0.6407, -0.0606]],
  "species": ["P", "K", "K", "As", "Gd", "Gd"],
  "fractional_positions": [[0.5000, 0.5000, 0.3231], [0.0000, 0.0000, 0.1175], [0.5000, 0.5000, 0.8840], [0.0000, 0.0000, 0.6887], [0.0000, 0.5000, 0.4933], [0.5000, 0.0000, 0.4933]]
}